Here is a relaxed RbZnCl3 crystal from Alexandria. Energies are from GGA-PBE.

Properties
E_form (uncorrected)   -1441 meV/atom

Unit cell a=7.4012 b=7.4012 c=10.6529 alpha=90.00 beta=90.00 gamma=120.00
Fractional positions:
Rb 0.0000 0.0000 0.0000
Rb 0.3333 0.6667 0.6667
Rb 0.6667 0.3333 0.3333
Zn 0.0000 0.0000 0.4375
Zn 0.3333 0.6667 0.1042
Zn 0.6667 0.3333 0.7708
Cl 0.1704 0.3407 0.4133
Cl 0.1704 0.8296 0.4133
Cl 0.3259 0.1630 0.7467
Cl 0.5037 0.0074 0.0800
Cl 0.5037 0.4963 0.0800
Cl 0.6593 0.8296 0.4133
Cl 0.8370 0.1630 0.7467
Cl 0.8370 0.6741 0.7467
Cl 0.9926 0.4963 0.0800

Here is a relaxed BaIn2Fe crystal from Alexandria. Energies are from GGA-PBE.

Properties
E_form   0.554 eV/atom

Unit cell a=7.4513 b=7.4513 c=7.4513 alpha=90.00 beta=90.00 gamma=90.00
Fractional positions:
Ba 0.0000 0.0000 0.0000
Ba 0.0000 0.5000 0.5000
Ba 0.5000 0.0000 0.5000
Ba 0.5000 0.5000 0.0000
In 0.2500 0.2500 0.2500
In 0.2500 0.2500 0.7500
In 0.2500 0.7500 0.2500
In 0.2500 0.7500 0.7500
In 0.7500 0.2500 0.2500
In 0.7500 0.2500 0.7500
In 0.7500 0.7500 0.2500
In 0.7500 0.7500 0.7500
Fe 0.0000 0.0000 0.5000
Fe 0.0000 0.5000 0.0000
Fe 0.5000 0.0000 0.0000
Fe 0.5000 0.5000 0.5000

no.,size of the total moment (μB per cell)
1,0.000
2,0.238